NaCo2F8 (PBE with a Hubbard U, optimized geometry); spin magnetization = 9.00 μB/cell; total DFT energy (no corrections) = -4.280 eV/atom; space-group type = P-1 (2)
1.0
3.927 -0.009 0.015
-0.025 5.905 -3.532
0.025 -0.106 6.883
F Co Na
8 2 1
Cartesian
2.932 4.789 -1.613
1.002 3.665 3.325
2.969 1.852 3.488
0.994 1.001 4.980
1.002 1.078 1.843
2.925 2.125 0.042
0.957 3.938 -0.121
2.924 4.712 1.524
1.032 1.879 3.442
2.894 3.910 -0.075
0.025 -0.106 6.883